This record from Alexandria describes crystalline PmDy2Se3 at its relaxed geometry. The functional is GGA-PBE.

Cell: 4.1248 5.8087 7.1297 Å, 114.04 106.81 90.00°
Last column: nearest neighbours and their distance in Å.
Fractional coordinates of all 6 atoms:
Pm (0.5000, 0.5000, 0.5000)  6 Se 2.90-2.98
Dy (0.8390, 0.8390, 0.1781)  6 Se 2.86-2.91
Dy (0.1610, 0.1610, 0.8219)  6 Se 2.86-2.91
Se (0.8257, 0.3257, 0.1515)  4 Dy 2.90-2.91, 2 Pm 2.98
Se (0.1743, 0.6743, 0.8485)  4 Dy 2.90-2.91, 2 Pm 2.98
Se (0.5000, 0.0000, 0.5000)  4 Dy 2.86, 2 Pm 2.90

Properties
E_form (uncorrected)	-1.7748	eV per atom
density	7.93	g/cm³
symmetry	Immm, No. 71
crystal system	orthorhombic